# Zr2CuPt, relaxed, DFT PBE
# Crystal system: trigonal
# DFT formation energy in eV per atom: -0.298
# Total DFT energy (no corrections) in eV per atom: -7.106
data_Zr2CuPt
_cell_length_a 4.3627
_cell_length_b 4.3627
_cell_length_c 14.4163
_cell_angle_alpha 90.00
_cell_angle_beta 90.00
_cell_angle_gamma 120.00
_space_group_name_H-M_alt 'R 3 m'
_space_group_IT_number 160
_space_group_name_Hall 'R 3 -2"'
loop_
_atom_site_label
_atom_site_fract_x
_atom_site_fract_y
_atom_site_fract_z
_atom_site_occupancy
Zr1 0.0000 0.0000 0.0000 1
Zr2 0.0000 0.0000 0.1976 1
Cu1 0.0000 0.0000 0.7925 1
Pt1 0.0000 0.0000 0.4097 1